1.
! CrFeB2 (PBE-GGA, relaxed); values from VASP
! VASP energy	-8.2796	eV per atom
! calculated formation energy	-419	meV/atom
! Fermi-level density of states	0.689	states/eV per atom
! E above lowest polymorph	0.013	eV/atom
&SYSTEM
  ibrav = 0, nat = 8, ntyp = 3
/
ATOMIC_SPECIES
Cr 52.00 Cr.upf
Fe 55.84 Fe.upf
B 10.81 B.upf
ATOMIC_POSITIONS angstrom
Cr 0.000 0.518 3.719
Cr 0.000 3.596 0.980
Fe 1.463 1.505 1.761
Fe 1.463 2.608 4.500
B 0.000 2.586 2.930
B 0.000 1.527 0.190
B 1.463 3.524 2.547
B 1.463 0.589 5.286
CELL_PARAMETERS angstrom
2.927 0.000 0.000
0.000 4.113 0.000
0.000 0.000 5.478

---

2.
! Cr2FeB2 (PBE-GGA, relaxed); values from VASP
! VASP energy	-8.1673	eV per atom
! calculated formation energy	46	meV/atom
! Fermi-level density of states	0.829	states/eV per atom
&SYSTEM
  ibrav = 0, nat = 10, ntyp = 3
/
ATOMIC_SPECIES
Cr 52.00 Cr.upf
Fe 55.84 Fe.upf
B 10.81 B.upf
ATOMIC_POSITIONS angstrom
Cr 0.973 4.576 2.858
Cr 0.410 2.475 4.191
Cr 0.289 -0.060 2.514
Cr 0.853 2.041 1.181
Fe 0.000 0.000 0.000
Fe -1.432 1.022 1.005
B -1.024 1.742 2.895
B 1.953 3.780 0.981
B 2.287 2.774 2.478
B -0.691 0.737 4.391
CELL_PARAMETERS angstrom
-2.863 2.044 2.011
0.777 -2.345 3.490
3.349 4.818 -0.128

---

3.
! CrFeB (PBE-GGA, relaxed); values from VASP
! VASP energy	-8.3968	eV per atom
! calculated formation energy	-142	meV/atom
! Fermi-level density of states	0.553	states/eV per atom
! E above lowest polymorph	0.179	eV/atom
&SYSTEM
  ibrav = 0, nat = 6, ntyp = 3
/
ATOMIC_SPECIES
Cr 52.00 Cr.upf
B 10.81 B.upf
Fe 55.84 Fe.upf
ATOMIC_POSITIONS angstrom
Cr 1.559 -4.888 1.978
Cr 0.061 -4.409 3.754
B 0.076 -2.298 3.789
B -1.038 -2.941 2.644
Fe 0.867 -2.609 1.893
Fe 2.178 -3.175 3.998
CELL_PARAMETERS angstrom
-0.355 -0.006 3.826
-1.390 -3.597 -0.085
3.170 -2.326 1.271

---

4.
! Cr3FeB (PBE-GGA, relaxed); values from VASP
! VASP energy	-7.0333	eV per atom
! calculated formation energy	1769	meV/atom
! Fermi-level density of states	1.614	states/eV per atom
! E above lowest polymorph	1.374	eV/atom
&SYSTEM
  ibrav = 0, nat = 5, ntyp = 3
/
ATOMIC_SPECIES
Cr 52.00 Cr.upf
B 10.81 B.upf
Fe 55.84 Fe.upf
ATOMIC_POSITIONS angstrom
Cr 0.000 2.051 0.000
Cr 0.000 0.000 2.051
Cr 2.051 0.000 0.000
B 2.051 2.051 2.051
Fe 0.000 0.000 0.000
CELL_PARAMETERS angstrom
4.102 0.000 0.000
0.000 4.102 0.000
0.000 0.000 4.102

---

5.
! CrFeB (PBE-GGA, relaxed); values from VASP
! VASP energy	-8.5754	eV per atom
! calculated formation energy	-321	meV/atom
! Fermi-level density of states	0.815	states/eV per atom
! E above lowest polymorph	0.000	eV/atom
&SYSTEM
  ibrav = 0, nat = 18, ntyp = 3
/
ATOMIC_SPECIES
Cr 52.00 Cr.upf
Fe 55.84 Fe.upf
B 10.81 B.upf
ATOMIC_POSITIONS angstrom
Cr 0.000 1.257 9.319
Cr 0.000 4.502 0.436
Cr 0.000 1.257 5.314
Cr 0.000 4.502 4.441
Cr 0.000 0.866 2.439
Cr 0.000 4.893 7.317
Fe 1.456 2.488 1.153
Fe 1.456 3.271 8.603
Fe 1.456 2.488 3.725
Fe 1.456 3.271 6.031
Fe 1.456 4.642 2.439
Fe 1.456 1.117 7.317
B 1.456 0.322 0.862
B 1.456 5.438 8.894
B 1.456 0.322 4.016
B 1.456 5.438 5.740
B 0.000 3.182 2.439
B 0.000 2.577 7.317
CELL_PARAMETERS angstrom
2.912 0.000 0.000
0.000 5.759 0.000
0.000 0.000 9.756

---

6.
! Cr2FeGeB (PBE-GGA, relaxed); values from VASP
! VASP energy	-7.7032	eV per atom
! calculated formation energy	98	meV/atom
! Fermi-level density of states	0.520	states/eV per atom
&SYSTEM
  ibrav = 0, nat = 5, ntyp = 4
/
ATOMIC_SPECIES
Cr 52.00 Cr.upf
Ge 72.64 Ge.upf
B 10.81 B.upf
Fe 55.84 Fe.upf
ATOMIC_POSITIONS angstrom
Cr -1.863 0.476 0.515
Cr -0.303 -1.865 0.629
Ge -1.567 -0.905 2.864
B 0.000 0.000 0.000
Fe 0.599 0.483 1.720
CELL_PARAMETERS angstrom
-0.605 -3.729 1.258
1.197 0.966 3.439
-3.727 0.952 1.030

---

7.
! HfCrFeB2 (PBE-GGA, relaxed); values from VASP
! VASP energy	-7.1630	eV per atom
! calculated formation energy	1116	meV/atom
! Fermi-level density of states	0.738	states/eV per atom
&SYSTEM
  ibrav = 0, nat = 5, ntyp = 4
/
ATOMIC_SPECIES
Cr 52.00 Cr.upf
B 10.81 B.upf
Hf 178.49 Hf.upf
Fe 55.84 Fe.upf
ATOMIC_POSITIONS angstrom
Cr 0.000 0.000 0.000
B 0.000 0.000 1.973
B 1.973 0.000 0.000
Hf 0.000 2.281 0.000
Fe 1.973 2.281 1.973
CELL_PARAMETERS angstrom
3.945 0.000 0.000
0.000 4.561 0.000
0.000 0.000 3.945

---

8.
! MnCrFeB (PBE-GGA, relaxed); values from VASP
! VASP energy	-8.4440	eV per atom
! calculated formation energy	39	meV/atom
! Fermi-level density of states	0.873	states/eV per atom
&SYSTEM
  ibrav = 0, nat = 4, ntyp = 4
/
ATOMIC_SPECIES
Cr 52.00 Cr.upf
B 10.81 B.upf
Mn 54.94 Mn.upf
Fe 55.84 Fe.upf
ATOMIC_POSITIONS angstrom
Cr -5.234 0.520 4.514
B -1.745 0.173 1.505
Mn -3.490 0.347 3.009
Fe 0.000 0.000 0.000
CELL_PARAMETERS angstrom
-2.116 2.399 2.000
-3.655 -0.739 0.577
-1.208 -0.967 3.441

---

9.
! CrFeB2Mo (PBE-GGA, relaxed); values from VASP
! VASP energy	-6.7026	eV per atom
! calculated formation energy	1752	meV/atom
! Fermi-level density of states	1.001	states/eV per atom
&SYSTEM
  ibrav = 0, nat = 5, ntyp = 4
/
ATOMIC_SPECIES
Cr 52.00 Cr.upf
Mo 95.94 Mo.upf
B 10.81 B.upf
Fe 55.84 Fe.upf
ATOMIC_POSITIONS angstrom
Cr -1.302 -1.478 -3.056
Mo 0.000 0.000 0.000
B -1.066 -1.705 -0.045
B -1.375 0.889 -1.169
Fe 1.138 -0.662 -1.842
CELL_PARAMETERS angstrom
-2.749 1.779 -2.337
2.275 -1.325 -3.684
-2.131 -3.411 -0.090

---

10.
! CrFe2NiB (PBE-GGA, relaxed); values from VASP
! VASP energy	-6.4742	eV per atom
! calculated formation energy	1327	meV/atom
! Fermi-level density of states	0.894	states/eV per atom
&SYSTEM
  ibrav = 0, nat = 5, ntyp = 4
/
ATOMIC_SPECIES
Ni 58.69 Ni.upf
B 10.81 B.upf
Fe 55.84 Fe.upf
Cr 52.00 Cr.upf
ATOMIC_POSITIONS angstrom
Ni 2.070 1.925 2.070
B 0.000 1.925 0.000
Fe 0.000 0.000 2.070
Fe 2.070 0.000 0.000
Cr 0.000 0.000 0.000
CELL_PARAMETERS angstrom
4.139 0.000 0.000
0.000 3.850 0.000
0.000 0.000 4.139

---

11.
! Pa2CrFe3B12 (PBE-GGA, relaxed); values from VASP
! VASP energy	-7.4217	eV per atom
! calculated formation energy	30	meV/atom
! Fermi-level density of states	0.480	states/eV per atom
&SYSTEM
  ibrav = 0, nat = 18, ntyp = 4
/
ATOMIC_SPECIES
Pa 231.04 Pa.upf
Cr 52.00 Cr.upf
Fe 55.84 Fe.upf
B 10.81 B.upf
ATOMIC_POSITIONS angstrom
Pa -9.846 -1.570 -10.232
Pa -5.494 -0.876 -5.710
Cr 0.000 0.000 0.000
Fe -3.118 1.012 -2.335
Fe -1.426 -0.578 -3.719
Fe -3.126 -1.658 -1.917
B -3.289 0.222 -4.275
B -10.639 -0.251 -12.718
B -10.649 -3.581 -12.196
B -3.294 -1.497 -4.006
B -12.759 -1.599 -10.470
B -4.383 -0.474 -3.115
B -12.051 -2.669 -11.667
B -4.701 -2.196 -3.225
B -4.691 1.134 -3.746
B -12.046 -0.950 -11.936
B -2.580 -0.848 -5.472
B -10.957 -1.973 -12.827
CELL_PARAMETERS angstrom
-6.236 2.025 -4.670
-2.851 -1.155 -7.438
-6.253 -3.317 -3.834

---

12.
! CrFe5Re2B2 (PBE-GGA, relaxed); values from VASP
! VASP energy	-9.1264	eV per atom
! calculated formation energy	-108	meV/atom
! Fermi-level density of states	0.850	states/eV per atom
&SYSTEM
  ibrav = 0, nat = 20, ntyp = 4
/
ATOMIC_SPECIES
Cr 52.00 Cr.upf
Fe 55.84 Fe.upf
Re 186.21 Re.upf
B 10.81 B.upf
ATOMIC_POSITIONS angstrom
Cr 0.000 0.000 0.000
Cr 1.529 -5.669 1.685
Fe -1.170 -1.870 0.894
Fe 2.316 -9.380 4.504
Fe 3.361 -3.120 5.218
Fe -0.349 -7.117 1.895
Fe -2.215 -8.130 0.180
Fe 1.495 -4.133 3.503
Fe 1.633 -6.847 3.751
Fe -0.487 -4.403 1.647
Fe -2.279 -3.924 -0.063
Fe 1.897 -1.657 3.775
Re -0.773 -6.011 -0.469
Re 3.830 -5.327 3.840
Re 1.348 -2.518 1.379
Re 1.710 -8.820 1.992
B 3.229 -3.098 3.177
B -0.172 -8.239 0.193
B 3.352 -7.929 3.501
B -0.294 -3.409 -0.130
CELL_PARAMETERS angstrom
-1.911 0.088 2.027
-2.648 -7.936 -2.153
5.705 -3.402 5.523